# MnFe3, single point on PBEsol structure, DFT SCAN
data_MnFe3
_chemical_formula_sum 'Mn1 Fe3'
_cell_length_a 2.418
_cell_length_b 3.496
_cell_length_c 4.834
_cell_angle_alpha 90.00
_cell_angle_beta 90.00
_cell_angle_gamma 90.00
_space_group_name_H-M_alt 'P m m m'
_space_group_IT_number 47
loop_
_space_group_symop_operation_xyz
'x,y,z'
'-x,-y,-z'
'-x,-y,z'
'x,y,-z'
'x,-y,-z'
'-x,y,z'
'-x,y,-z'
'x,-y,z'
loop_
_atom_site_label
_atom_site_type_symbol
_atom_site_fract_x
_atom_site_fract_y
_atom_site_fract_z
_atom_site_occupancy
Mn1 Mn 0.000 0.000 0.000 1
Fe1 Fe 0.000 0.000 0.500 1
Fe2 Fe 0.500 0.500 0.251 1
# Crystal system = orthorhombic
# Energy relative to the elements = 0.125 eV per atom
# Theoretical density = 9.0 g/cm³
# Electronic total energy = -72.14 eV for the cell shown

# LaP2S2, single point on PBEsol structure, DFT SCAN
data_LaP2S2
_chemical_formula_sum 'La1 P2 S2'
_cell_length_a 4.524
_cell_length_b 4.524
_cell_length_c 4.738
_cell_angle_alpha 90.00
_cell_angle_beta 90.00
_cell_angle_gamma 90.00
_space_group_name_H-M_alt 'P 4/m m m'
_space_group_IT_number 123
_space_group_name_Hall '-P 4 2'
loop_
_atom_site_label
_atom_site_type_symbol
_atom_site_fract_x
_atom_site_fract_y
_atom_site_fract_z
_atom_site_occupancy
La1 La 0.000 0.000 0.000 1
P1 P 0.000 0.500 0.500 1
S1 S 0.500 0.500 0.000 1
S2 S 0.500 0.500 0.500 1
# Crystal system = tetragonal
# Theoretical density = 4.5 g/cm³
# Electronic total energy = -84.85 eV for the cell shown
# Formation energy without anion corrections = -0.338 eV per atom

What is the electronic total energy in the second record?
-84.85 eV for the cell shown